No. 1
Entry from Alexandria via LeMat-Bulk: a relaxed structure of Y2Ru (GGA-PBEsol).

Lattice parameters (Å, degrees): 13.562 13.562 13.562 165.88 165.88 20.01
Sites, in units of the cell vectors:
1 Y 0.314 0.564 0.750
2 Y 0.436 0.686 0.750
3 Y 0.564 0.314 0.250
4 Y 0.686 0.436 0.250
5 Ru 0.125 0.875 0.250
6 Ru 0.875 0.125 0.750

Crystal system ... tetragonal
Calculated formation energy ... -0.2304 eV per atom
E_tot ... -49.02 eV for the cell shown
Symmetry ... I4_1/amd, No. 141
Magnetization ... 0.00 μB/cell

---

No. 2
Entry from Alexandria via LeMat-Bulk: a relaxed structure of Ta3PbS6 (GGA-PBEsol).

Lattice parameters (Å, degrees): 5.736 5.736 14.816 90.00 90.00 120.00
Sites, in units of the cell vectors:
1 Ta 0.000 0.000 0.250
2 Ta 0.000 0.000 0.750
3 Ta 0.333 0.667 0.250
4 Ta 0.333 0.667 0.750
5 Ta 0.667 0.333 0.250
6 Ta 0.667 0.333 0.750
7 Pb 0.000 0.000 0.000
8 Pb 0.000 0.000 0.500
9 S 0.000 0.337 0.145
10 S 0.000 0.337 0.355
11 S 0.000 0.663 0.645
12 S 0.000 0.663 0.855
13 S 0.337 0.000 0.145
14 S 0.337 0.000 0.355
15 S 0.337 0.337 0.645
16 S 0.337 0.337 0.855
17 S 0.663 0.000 0.645
18 S 0.663 0.000 0.855
19 S 0.663 0.663 0.145
20 S 0.663 0.663 0.355

Crystal system ... hexagonal
E_tot ... -158.11 eV for the cell shown
Formation energy without anion corrections ... -1110 meV/atom
Symmetry ... P6_3/mcm, No. 193
Magnetization ... 0.00 μB/cell

---

Question: Among the records above, which one has the highest E_tot?
Answer: Y2Ru